(A)
VASP calculation (PBE) on an optimized crystal structure of Re2IrF.

abc: 4.2794 4.2794 4.2794
angles: 60.00 60.00 60.00
Fractional positions:
Re: 0.2500 0.2500 0.2500
Re: 0.7500 0.7500 0.7500
Ir: 0.5000 0.5000 0.5000
F: 0.0000 0.0000 0.0000



(B)
VASP calculation (PBE) on an optimized crystal structure of Re2IrF.

abc: 6.4277 6.4277 5.3073
angles: 52.73 52.73 90.00
Fractional positions:
Re: 0.5840 0.1250 0.2500
Re: 0.1660 0.6250 0.2500
Re: 0.3750 0.4160 0.7500
Re: 0.8750 0.8340 0.7500
Ir: 0.0000 0.0000 0.0000
Ir: 0.7500 0.2500 0.5000
F: 0.5000 0.5000 0.0000
F: 0.2500 0.7500 0.5000



Which is most stable? The ranking, best first, is (A), (B).



(A)
VASP calculation (PBE) on an optimized crystal structure of IrRhF2.

abc: 4.1799 4.1799 4.1799
angles: 60.00 60.00 60.00
Each line ends with the local moment (μB).
Fractional positions:
Ir: 0.5000 0.5000 0.5000  1.93
Rh: 0.0000 0.0000 0.0000  1.54
F: 0.2500 0.2500 0.2500  0.19
F: 0.7500 0.7500 0.7500  0.19



(B)
VASP calculation (PBE) on an optimized crystal structure of IrRhF2.

abc: 7.2144 7.2144 5.6386
angles: 50.23 50.23 90.00
Each line ends with the local moment (μB).
Fractional positions:
Ir: 0.0000 0.0000 0.0000  0.45
Ir: 0.7500 0.2500 0.5000  0.46
Rh: 0.5000 0.5000 0.0000  0.15
Rh: 0.2500 0.7500 0.5000  0.15
F: 0.7312 0.1250 0.2500  0.04
F: 0.0188 0.6250 0.2500  0.03
F: 0.3750 0.2688 0.7500  0.04
F: 0.8750 0.9812 0.7500  0.03



(C)
VASP calculation (PBE) on an optimized crystal structure of IrRhF2.

abc: 8.2515 8.2515 8.2515
angles: 18.79 18.79 18.79
Each line ends with the local moment (μB).
Fractional positions:
Ir: 0.0000 0.0000 0.0000  0.02
Rh: 0.5000 0.5000 0.5000  1.29
F: 0.9181 0.9181 0.9181  0.04
F: 0.0819 0.0819 0.0819  0.04



Which is most stable? The ranking, best first, is (C), (B), (A).



(A)
VASP calculation (PBE) on an optimized crystal structure of Ir3RhF.

abc: 4.7370 4.7370 4.7370
angles: 90.00 90.00 90.00
Each line ends with the local moment (μB).
Fractional positions:
Ir: 0.0000 0.5000 0.0000  0.61
Ir: 0.0000 0.0000 0.5000  0.76
Ir: 0.5000 0.0000 0.0000  0.47
Rh: 0.0000 0.0000 0.0000  0.12
F: 0.5000 0.5000 0.5000  0.08



(B)
VASP calculation (PBE) on an optimized crystal structure of Ir3RhF.

abc: 4.2152 4.2152 4.2152
angles: 90.00 90.00 90.00
Fractional positions:
Ir: 0.0000 0.5000 0.0000
Ir: 0.0000 0.0000 0.5000
Ir: 0.5000 0.0000 0.0000
Rh: 0.5000 0.5000 0.5000
F: 0.0000 0.0000 0.0000



Which is most stable? The ranking, best first, is (B), (A).



(A)
VASP calculation (PBE) on an optimized crystal structure of IrRuF2.

abc: 10.2145 10.2145 10.2145
angles: 14.80 14.80 14.80
Each line ends with the local moment (μB).
Fractional positions:
Ru: 0.0000 0.0000 0.0000  0.00
Ir: 0.5000 0.5000 0.5000  0.87
F: 0.9379 0.9379 0.9379  0.00
F: 0.0621 0.0621 0.0621  0.00



(B)
VASP calculation (PBE) on an optimized crystal structure of IrRuF2.

abc: 7.1079 7.1079 5.5598
angles: 50.27 50.27 90.00
Fractional positions:
Ru: 0.5000 0.5000 0.0000
Ru: 0.2500 0.7500 0.5000
Ir: 0.0000 0.0000 0.0000
Ir: 0.7500 0.2500 0.5000
F: 0.5138 0.1250 0.2500
F: 0.2362 0.6250 0.2500
F: 0.3750 0.4862 0.7500
F: 0.8750 0.7638 0.7500



(C)
VASP calculation (PBE) on an optimized crystal structure of IrRuF2.

abc: 4.2003 4.2003 4.2003
angles: 60.00 60.00 60.00
Each line ends with the local moment (μB).
Fractional positions:
Ru: 0.0000 0.0000 0.0000  2.57
Ir: 0.5000 0.5000 0.5000  1.67
F: 0.2500 0.2500 0.2500  0.19
F: 0.7500 0.7500 0.7500  0.19



(D)
VASP calculation (PBE) on an optimized crystal structure of IrRuF2.

abc: 8.1849 8.1849 8.1849
angles: 18.85 18.85 18.85
Each line ends with the local moment (μB).
Fractional positions:
Ru: 0.5000 0.5000 0.5000  1.35
Ir: 0.0000 0.0000 0.0000  -0.07
F: 0.9165 0.9165 0.9165  0.02
F: 0.0835 0.0835 0.0835  0.02



Which is most stable? The ranking, best first, is (A), (D), (B), (C).



(A)
VASP calculation (PBE) on an optimized crystal structure of IrRu2F.

abc: 4.2380 4.2380 4.2380
angles: 60.00 60.00 60.00
Fractional positions:
Ru: 0.2500 0.2500 0.2500
Ru: 0.7500 0.7500 0.7500
Ir: 0.5000 0.5000 0.5000
F: 0.0000 0.0000 0.0000



(B)
VASP calculation (PBE) on an optimized crystal structure of IrRu2F.

abc: 6.3753 6.3753 5.3041
angles: 53.06 53.06 90.00
Each line ends with the local moment (μB).
Fractional positions:
Ru: 0.5980 0.1250 0.2500  0.42
Ru: 0.1520 0.6250 0.2500  0.42
Ru: 0.3750 0.4020 0.7500  0.42
Ru: 0.8750 0.8480 0.7500  0.42
Ir: 0.0000 0.0000 0.0000  0.10
Ir: 0.7500 0.2500 0.5000  0.10
F: 0.5000 0.5000 0.0000  0.02
F: 0.2500 0.7500 0.5000  0.02



Which is most stable? The ranking, best first, is (A), (B).



(A)
VASP calculation (PBE) on an optimized crystal structure of Ir3RuF.

abc: 4.2019 4.2019 4.2019
angles: 90.00 90.00 90.00
Fractional positions:
Ru: 0.5000 0.5000 0.5000
Ir: 0.0000 0.5000 0.0000
Ir: 0.0000 0.0000 0.5000
Ir: 0.5000 0.0000 0.0000
F: 0.0000 0.0000 0.0000



(B)
VASP calculation (PBE) on an optimized crystal structure of Ir3RuF.

abc: 4.6971 4.6971 4.6971
angles: 90.00 90.00 90.00
Fractional positions:
Ru: 0.0000 0.0000 0.0000
Ir: 0.0000 0.5000 0.0000
Ir: 0.0000 0.0000 0.5000
Ir: 0.5000 0.0000 0.0000
F: 0.5000 0.5000 0.5000



Which is most stable? The ranking, best first, is (A), (B).



(A)
VASP calculation (PBE) on an optimized crystal structure of Ir2SF.

abc: 4.1461 4.1461 4.1461
angles: 60.00 60.00 60.00
Fractional positions:
S: 0.5000 0.5000 0.5000
Ir: 0.2500 0.2500 0.2500
Ir: 0.7500 0.7500 0.7500
F: 0.0000 0.0000 0.0000



(B)
VASP calculation (PBE) on an optimized crystal structure of Ir2SF.

abc: 6.2544 6.2544 5.2958
angles: 53.81 53.81 90.00
Fractional positions:
S: 0.0000 0.0000 0.0000
S: 0.7500 0.2500 0.5000
Ir: 0.6518 0.1250 0.2500
Ir: 0.0982 0.6250 0.2500
Ir: 0.3750 0.3482 0.7500
Ir: 0.8750 0.9018 0.7500
F: 0.5000 0.5000 0.0000
F: 0.2500 0.7500 0.5000



Which is most stable? The ranking, best first, is (B), (A).



(A)
VASP calculation (PBE) on an optimized crystal structure of IrSF3.

abc: 4.1934 4.1934 4.1934
angles: 90.00 90.00 90.00
Each line ends with the local moment (μB).
Fractional positions:
S: 0.5000 0.5000 0.5000  -1.28
Ir: 0.0000 0.0000 0.0000  -0.53
F: 0.0000 0.5000 0.0000  -0.09
F: 0.0000 0.0000 0.5000  -0.11
F: 0.5000 0.0000 0.0000  -0.08



(B)
VASP calculation (PBE) on an optimized crystal structure of IrSF3.

abc: 4.2442 4.2442 4.2442
angles: 90.00 90.00 90.00
Each line ends with the local moment (μB).
Fractional positions:
S: 0.0000 0.0000 0.0000  0.03
Ir: 0.5000 0.5000 0.5000  2.19
F: 0.0000 0.5000 0.0000  0.04
F: 0.0000 0.0000 0.5000  0.03
F: 0.5000 0.0000 0.0000  0.03



Which is most stable? The ranking, best first, is (A), (B).



(A)
VASP calculation (PBE) on an optimized crystal structure of IrS2F.

abc: 4.1410 4.1410 4.1410
angles: 60.00 60.00 60.00
Fractional positions:
S: 0.2500 0.2500 0.2500
S: 0.7500 0.7500 0.7500
Ir: 0.5000 0.5000 0.5000
F: 0.0000 0.0000 0.0000



(B)
VASP calculation (PBE) on an optimized crystal structure of IrS2F.

abc: 6.6673 6.6673 6.6673
angles: 31.48 31.48 31.48
Fractional positions:
S: 0.8916 0.8916 0.8916
S: 0.1084 0.1084 0.1084
Ir: 0.5000 0.5000 0.5000
F: 0.0000 0.0000 0.0000



Which is most stable? The ranking, best first, is (B), (A).



(A)
VASP calculation (PBE) on an optimized crystal structure of IrS2F.

abc: 5.8930 5.8930 6.1446
angles: 61.35 61.35 90.00
Fractional positions:
S: 0.6705 0.1250 0.2500
S: 0.0795 0.6250 0.2500
S: 0.3750 0.3295 0.7500
S: 0.8750 0.9205 0.7500
Ir: 0.0000 0.0000 0.0000
Ir: 0.7500 0.2500 0.5000
F: 0.5000 0.5000 0.0000
F: 0.2500 0.7500 0.5000



(B)
VASP calculation (PBE) on an optimized crystal structure of IrS2F.

abc: 8.6505 8.6505 8.6505
angles: 18.11 18.11 18.11
Fractional positions:
S: 0.9107 0.9107 0.9107
S: 0.0893 0.0893 0.0893
Ir: 0.0000 0.0000 0.0000
F: 0.5000 0.5000 0.5000



Which is most stable? The ranking, best first, is (A), (B).



(A)
VASP calculation (PBE) on an optimized crystal structure of Sb3IrF.

abc: 5.2021 5.2021 5.2021
angles: 90.00 90.00 90.00
Each line ends with the local moment (μB).
Fractional positions:
Sb: 0.0000 0.5000 0.0000  0.08
Sb: 0.0000 0.0000 0.5000  0.19
Sb: 0.5000 0.0000 0.0000  0.04
Ir: 0.0000 0.0000 0.0000  0.22
F: 0.5000 0.5000 0.5000  0.16



(B)
VASP calculation (PBE) on an optimized crystal structure of Sb3IrF.

abc: 4.7537 4.7537 4.7537
angles: 90.00 90.00 90.00
Fractional positions:
Sb: 0.0000 0.5000 0.0000
Sb: 0.0000 0.0000 0.5000
Sb: 0.5000 0.0000 0.0000
Ir: 0.5000 0.5000 0.5000
F: 0.0000 0.0000 0.0000



Which is most stable? The ranking, best first, is (A), (B).



(A)
VASP calculation (PBE) on an optimized crystal structure of Sb2Ir2F.

abc: 4.6225 4.6225 5.9428
angles: 67.11 67.11 90.00
Fractional positions:
Sb: 0.7500 0.2500 0.5000
Sb: 0.2500 0.7500 0.5000
Ir: 0.3792 0.3792 0.2415
Ir: 0.6208 0.6208 0.7585
F: 0.0000 0.0000 0.0000



(B)
VASP calculation (PBE) on an optimized crystal structure of Sb2Ir2F.

abc: 7.7320 7.7320 3.0417
angles: 90.00 90.00 90.00
Fractional positions:
Sb: 0.1645 0.6645 0.5000
Sb: 0.6645 0.8355 0.5000
Sb: 0.8355 0.3355 0.5000
Sb: 0.3355 0.1645 0.5000
Ir: 0.3696 0.8696 0.0000
Ir: 0.8696 0.6304 0.0000
Ir: 0.6304 0.1304 0.0000
Ir: 0.1304 0.3696 0.0000
F: 0.0000 0.0000 0.0000
F: 0.5000 0.5000 0.0000



Which is most stable? The ranking, best first, is (B), (A).